Entry 1:
First-principles (PBE) data for an optimized crystal structure of Sr2SbPbS4, as listed in Alexandria.

Electronic total energy in eV/f.u.: -36.56
Density in Mg/m³: 4.81

Cell lengths 8.3453, 8.3453, 8.2622 Å; angles 117.43, 117.43, 89.89 degrees
Atoms (fractional coordinates):
Sr (0.0000, 0.0000, 0.0000)
Sr (0.0000, 0.0000, 0.5000)
Sr (0.0000, 0.5000, 0.0000)
Sr (0.5000, 0.0000, 0.5000)
Sb (0.0000, 0.5000, 0.5000)
Sb (0.5000, 0.0000, 0.0000)
Pb (0.5000, 0.5000, 0.0000)
Pb (0.5000, 0.5000, 0.5000)
S (0.2221, 0.7232, 0.4751)
S (0.2412, 0.2559, 0.4999)
S (0.2559, 0.2412, 0.9999)
S (0.2768, 0.7779, 0.0249)
S (0.7232, 0.2221, 0.9751)
S (0.7441, 0.7588, 0.0001)
S (0.7588, 0.7441, 0.5001)
S (0.7779, 0.2768, 0.5249)

***

Entry 2:
First-principles (PBE) data for an optimized crystal structure of TaSbPbS2, as listed in Alexandria.

Electronic total energy in eV/f.u.: -20.79
Density in Mg/m³: 6.73

Cell lengths 5.0439, 5.0439, 5.5710 Å; angles 90.00, 90.00, 90.00 degrees
Atoms (fractional coordinates):
Ta (0.0000, 0.0000, 0.0000)
Sb (0.5000, 0.5000, 0.0000)
Pb (0.0000, 0.0000, 0.5000)
S (0.0000, 0.5000, 0.5000)
S (0.5000, 0.0000, 0.5000)

***

Entry 3:
First-principles (PBE) data for an optimized crystal structure of Tb3SbPbS, as listed in Alexandria.

Electronic total energy in eV/f.u.: -31.73
Density in Mg/m³: 7.26

Cell lengths 8.9685, 4.4281, 9.7634 Å; angles 90.00, 98.95, 90.00 degrees
Atoms (fractional coordinates):
Tb (0.1007, 0.2500, 0.3626)
Tb (0.3211, 0.2500, 0.0272)
Tb (0.3870, 0.7500, 0.6309)
Tb (0.6130, 0.2500, 0.3691)
Tb (0.6789, 0.7500, 0.9728)
Tb (0.8993, 0.7500, 0.6374)
Sb (0.1453, 0.2500, 0.6787)
Sb (0.8547, 0.7500, 0.3213)
Pb (0.3349, 0.7500, 0.2926)
Pb (0.6651, 0.2500, 0.7074)
S (0.3824, 0.7500, 0.9034)
S (0.6176, 0.2500, 0.0966)